Run one
## Si3Br5 (GGA-PBE)

Data for Si3Br5 after structural relaxation.

Values from the calculation:
- DOS at the Fermi energy: 2.9 states/eV per cell

Lattice parameters (Å, degrees): 7.683 7.683 3.843 90.00 90.00 109.09
Fractional positions:
1 Si 0.000 0.000 0.000
2 Si 0.330 0.670 0.500
3 Si 0.670 0.330 0.500
4 Br 0.000 0.500 0.000
5 Br 0.199 0.199 0.500
6 Br 0.500 0.000 0.000
7 Br 0.500 0.500 0.000
8 Br 0.801 0.801 0.500

=====

Run two
## Si3Br5 (GGA-PBE)

Data for Si3Br5 after structural relaxation.

Values from the calculation:
- DOS at the Fermi energy: 5.0 states/eV per cell

Lattice parameters (Å, degrees): 11.423 6.574 11.758 90.00 113.80 90.00
Fractional positions:
1 Si 0.000 0.000 0.000
2 Si 0.018 0.500 0.971
3 Si 0.524 0.000 0.081
4 Si 0.579 0.500 0.137
5 Si 0.640 0.500 0.658
6 Si 0.668 0.000 0.640
7 Br 0.134 0.500 0.854
8 Br 0.352 0.000 0.894
9 Br 0.449 0.250 0.198
10 Br 0.449 0.750 0.198
11 Br 0.494 0.500 0.743
12 Br 0.763 0.500 0.313
13 Br 0.781 0.000 0.519
14 Br 0.824 0.250 0.825
15 Br 0.824 0.750 0.825
16 Br 0.919 0.000 0.147

=====

Which of them is the most stable? Correct choice: run two.

=====

Run one
## SiBr5 (GGA-PBE)

Data for SiBr5 after structural relaxation.

Values from the calculation:
- DOS at the Fermi energy: 4.4 states/eV per cell

Lattice parameters (Å, degrees): 8.150 8.150 7.796 108.71 108.71 26.33
Fractional positions:
1 Si 0.000 0.000 0.000
2 Br 0.112 0.112 0.882
3 Br 0.406 0.406 0.807
4 Br 0.423 0.423 0.293
5 Br 0.593 0.593 0.305
6 Br 0.755 0.755 0.331

=====

Run two
## SiBr5 (GGA-PBE)

Data for SiBr5 after structural relaxation.

Values from the calculation:
- DOS at the Fermi energy: 6.7 states/eV per cell

Lattice parameters (Å, degrees): 6.148 6.148 6.148 60.00 60.00 60.00
Fractional positions:
1 Si 0.000 0.000 0.000
2 Br 0.375 0.375 0.375
3 Br 0.375 0.375 0.875
4 Br 0.375 0.875 0.375
5 Br 0.750 0.750 0.750
6 Br 0.875 0.375 0.375

=====

Which of them is the most stable? Correct choice: run one.